VASP calculation (PBE-GGA) on ErOsPbO6 after structural relaxation.

a = 7.051 Å, b = 7.252 Å, c = 9.866 Å
α = 90.00°, β = 90.00°, γ = 90.00°
Space group Imma (No. 74)
Inequivalent atoms, fractional coordinates:
1 Er 0.250 0.250 0.250
2 Os 0.000 0.000 0.000
3 Pb 0.000 0.250 0.619
4 O 0.000 0.250 0.084
5 O 0.000 0.250 0.384
6 O 0.189 0.046 0.873

## Properties
ΔE_f (raw) = -157.5 kJ/mol of atoms
E_tot = -63.94 eV/f.u.